{
  "formula": "YAl2BiSe",
  "functional": "PBE-GGA",
  "state": "relaxed",
  "cell": [[5.2657, 0.0000, 0.0000], [0.0000, 5.2657, 0.0000], [0.0000, 0.0000, 6.0190]],
  "species": ["Y", "Al", "Al", "Bi", "Se"],
  "fractional_positions": [[0.0000, 0.0000, 0.0000], [0.0000, 0.5000, 0.5000], [0.5000, 0.0000, 0.5000], [0.0000, 0.0000, 0.5000], [0.5000, 0.5000, 0.0000]],
  "volume_a3_per_atom": 33.38,
  "total_magnetization_mub_per_cell": 0.000,
  "raw_formation_energy_ev_per_atom": 0.56,
  "sg": "No. 123"
}

=====

{
  "formula": "AlSi3Bi",
  "functional": "PBE-GGA",
  "state": "relaxed",
  "cell": [[4.8296, 0.0000, 0.0000], [0.0000, 4.8296, 0.0000], [0.0000, 0.0000, 4.8296]],
  "species": ["Al", "Si", "Si", "Si", "Bi"],
  "fractional_positions": [[0.0000, 0.0000, 0.0000], [0.0000, 0.0000, 0.5000], [0.0000, 0.5000, 0.0000], [0.5000, 0.0000, 0.0000], [0.5000, 0.5000, 0.5000]],
  "volume_a3_per_atom": 22.53,
  "total_magnetization_mub_per_cell": 0.000,
  "raw_formation_energy_ev_per_atom": 0.75,
  "sg": "No. 221"
}

=====

{
  "formula": "YAlSi2Bi",
  "functional": "PBE-GGA",
  "state": "relaxed",
  "cell": [[5.3679, 0.0000, 0.0000], [0.0000, 5.3679, 0.0000], [0.0000, 0.0000, 5.8054]],
  "species": ["Y", "Al", "Si", "Si", "Bi"],
  "fractional_positions": [[0.0000, 0.0000, 0.0000], [0.5000, 0.5000, 0.5000], [0.0000, 0.5000, 0.0000], [0.5000, 0.0000, 0.0000], [0.0000, 0.0000, 0.5000]],
  "volume_a3_per_atom": 33.46,
  "total_magnetization_mub_per_cell": 0.000,
  "raw_formation_energy_ev_per_atom": 0.93,
  "sg": "No. 123"
}

=====

{
  "formula": "SmAl2Bi",
  "functional": "PBE-GGA",
  "state": "relaxed",
  "cell": [[4.6567, 0.0000, 0.0000], [0.0000, 4.6567, 0.0000], [0.0000, 0.0000, 4.4575]],
  "species": ["Sm", "Al", "Al", "Bi"],
  "fractional_positions": [[0.0000, 0.0000, 0.0000], [0.0000, 0.5000, 0.5000], [0.5000, 0.0000, 0.5000], [0.5000, 0.5000, 0.0000]],
  "volume_a3_per_atom": 24.16,
  "total_magnetization_mub_per_cell": 0.000,
  "delta_e_f_mev_per_atom": -288,
  "sg": "No. 123"
}

=====

{
  "formula": "Sm5Al2Bi",
  "functional": "PBE-GGA",
  "state": "relaxed",
  "cell": [[-4.2394, 4.2394, 6.5216], [4.2394, -4.2394, 6.5216], [4.2394, 4.2394, -6.5216]],
  "species": ["Sm", "Sm", "Sm", "Sm", "Sm", "Sm", "Sm", "Sm", "Sm", "Sm", "Al", "Al", "Al", "Al", "Bi", "Bi"],
  "fractional_positions": [[0.0000, 0.0000, 0.0000], [0.0134, 0.5134, 0.8158], [0.1975, 0.0134, 0.5000], [0.3025, 0.8025, 0.8158], [0.4866, 0.3025, 0.5000], [0.5000, 0.5000, 0.0000], [0.5134, 0.6975, 0.5000], [0.6975, 0.1975, 0.1842], [0.8025, 0.9866, 0.5000], [0.9866, 0.4866, 0.1842], [0.1392, 0.3608, 0.5000], [0.3608, 0.8608, 0.2216], [0.6392, 0.1392, 0.7784], [0.8608, 0.6392, 0.5000], [0.2500, 0.2500, 0.0000], [0.7500, 0.7500, 0.0000]],
  "volume_a3_per_atom": 29.30,
  "total_magnetization_mub_per_cell": 0.000,
  "delta_e_f_mev_per_atom": -436,
  "sg": "No. 140"
}

=====

{
  "formula": "Sm3AlBi",
  "functional": "PBE-GGA",
  "state": "relaxed",
  "cell": [[6.7221, -6.9136, 0.0000], [6.7221, 6.9136, 0.0000], [-0.9868, 0.0000, 6.6428]],
  "species": ["Sm", "Sm", "Sm", "Sm", "Sm", "Sm", "Sm", "Sm", "Sm", "Sm", "Sm", "Sm", "Al", "Al", "Al", "Al", "Bi", "Bi", "Bi", "Bi"],
  "fractional_positions": [[0.0564, 0.7582, 0.9449], [0.1674, 0.5462, 0.3712], [0.2418, 0.9436, 0.5551], [0.2542, 0.3888, 0.9079], [0.3888, 0.2542, 0.4079], [0.4538, 0.8326, 0.1288], [0.5462, 0.1674, 0.8712], [0.6112, 0.7458, 0.5921], [0.7458, 0.6112, 0.0921], [0.7582, 0.0564, 0.4449], [0.8326, 0.4538, 0.6288], [0.9436, 0.2418, 0.0551], [0.3297, 0.6703, 0.7500], [0.4730, 0.5270, 0.2500], [0.5270, 0.4730, 0.7500], [0.6703, 0.3297, 0.2500], [0.0583, 0.2291, 0.5315], [0.2291, 0.0583, 0.0315], [0.7709, 0.9417, 0.9685], [0.9417, 0.7709, 0.4685]],
  "volume_a3_per_atom": 30.87,
  "total_magnetization_mub_per_cell": 0.000,
  "delta_e_f_mev_per_atom": -377,
  "sg": "No. 15"
}

=====

{
  "formula": "Sm8Al2Bi",
  "functional": "PBE-GGA",
  "state": "relaxed",
  "cell": [[8.6753, -2.4911, 0.0000], [8.6753, 2.4911, 0.0000], [-2.7491, 0.0000, 7.5634]],
  "species": ["Sm", "Sm", "Sm", "Sm", "Sm", "Sm", "Sm", "Sm", "Al", "Al", "Bi"],
  "fractional_positions": [[0.0453, 0.0453, 0.2332], [0.1663, 0.1663, 0.7439], [0.3235, 0.3235, 0.5703], [0.3950, 0.3950, 0.0405], [0.6050, 0.6050, 0.9595], [0.6765, 0.6765, 0.4297], [0.8337, 0.8337, 0.2561], [0.9547, 0.9547, 0.7668], [0.2151, 0.2151, 0.1694], [0.7849, 0.7849, 0.8306], [0.5000, 0.5000, 0.5000]],
  "volume_a3_per_atom": 29.72,
  "total_magnetization_mub_per_cell": 0.000,
  "delta_e_f_mev_per_atom": -257,
  "sg": "No. 12"
}

=====

{
  "formula": "Sm4AlBi",
  "functional": "PBE-GGA",
  "state": "relaxed",
  "cell": [[4.4722, -7.0658, 0.0000], [4.4722, 7.0658, 0.0000], [-2.3606, 0.0000, 5.7347]],
  "species": ["Sm", "Sm", "Sm", "Sm", "Sm", "Sm", "Sm", "Sm", "Al", "Al", "Bi", "Bi"],
  "fractional_positions": [[0.0788, 0.7099, 0.9371], [0.2118, 0.3820, 0.6517], [0.2901, 0.9212, 0.5629], [0.3820, 0.2118, 0.1517], [0.6180, 0.7882, 0.8483], [0.7099, 0.0788, 0.4371], [0.7882, 0.6180, 0.3483], [0.9212, 0.2901, 0.0629], [0.0009, 0.9991, 0.2500], [0.9991, 0.0009, 0.7500], [0.3831, 0.6169, 0.2500], [0.6169, 0.3831, 0.7500]],
  "volume_a3_per_atom": 30.20,
  "total_magnetization_mub_per_cell": 0.000,
  "delta_e_f_mev_per_atom": -402,
  "sg": "No. 15"
}